DFT (PBE-GGA) results for a geometry-optimized ScCdIr2 structure.

Results
E (eV per atom): -6.6688
Volume (Å³/cell): 66.8
Energy relative to the elements (eV per atom): -0.43

a = 4.199 Å, b = 4.199 Å, c = 3.791 Å
α = 90.00°, β = 90.00°, γ = 90.00°
Space group P4/mmm (No. 123)
Inequivalent atoms, fractional coordinates:
Sc: 0.000 0.000 0.000
Cd: 0.500 0.500 0.000
Ir: 0.000 0.500 0.500

DFT (PBE-GGA) results for a geometry-optimized Ac2ScI structure.

Results
ΔE to the lowest computed polymorph (meV/atom): 303.8
E (eV per atom): -4.0560
Volume (Å³/cell): 459.9
Energy relative to the elements, uncorrected (meV per atom): -31

a = 3.7994 Å, b = 3.7994 Å, c = 36.7874 Å
α = 90.00°, β = 90.00°, γ = 120.00°
Space group R-3m (No. 166, hexagonal axes)
Inequivalent atoms, fractional coordinates:
Ac: 0.0000 0.0000 0.0915
Sc: 0.0000 0.0000 0.0000
I: 0.0000 0.0000 0.5000

DFT (PBE-GGA) results for a geometry-optimized Ho6CdNi2 structure.

Results
E (eV per atom): -4.7396
Volume (Å³/cell): 895.2
Energy relative to the elements (eV per atom): -0.30

a = 9.249 Å, b = 9.623 Å, c = 10.057 Å
α = 90.00°, β = 90.00°, γ = 90.00°
Space group Immm (No. 71)
Inequivalent atoms, fractional coordinates:
Ho: 0.000 0.201 0.234
Ho: 0.193 0.500 0.177
Ho: 0.209 0.317 0.500
Cd: 0.000 0.000 0.000
Cd: 0.000 0.000 0.500
Ni: 0.000 0.353 0.000
Ni: 0.000 0.500 0.378

DFT (PBE-GGA) results for a geometry-optimized MgZrIr2 structure.

Results
E (eV per atom): -7.0579
Volume (Å³/cell): 295.3
Energy relative to the elements (eV per atom): -0.09

a = 7.114 Å, b = 7.114 Å, c = 5.835 Å
α = 90.00°, β = 90.00°, γ = 90.00°
Space group I-42d (No. 122)
Inequivalent atoms, fractional coordinates:
Mg: 0.000 0.000 0.000
Zr: 0.000 0.000 0.500
Ir: 0.244 0.750 0.625